Record 1
First-principles (GGA-PBE) data for LaTa after structural relaxation, as listed in the Alexandria database.

Values from the calculation:
The magnetic moment comes out at 0.00 μB per cell. For the density of states at the Fermi level, the calculation gives 1.492 states/eV/atom. For the energy above the most stable polymorph in this dataset, the calculation gives 816 meV per atom. Its energy relative to the elements is 2.191 eV per formula unit.

a b c (Å): 6.1486 6.1486 6.2456
angles (deg): 90.00 90.00 90.00
Fractional coordinates of all 8 atoms:
Ta  0.6448  0.3552  0.5000
Ta  0.1448  0.1448  0.0000
Ta  0.8552  0.8552  0.0000
Ta  0.3552  0.6448  0.5000
La  0.1819  0.1819  0.5000
La  0.6819  0.3181  0.0000
La  0.8181  0.8181  0.5000
La  0.3181  0.6819  0.0000

Record 2
First-principles (GGA-PBE) data for Nb2SnC after structural relaxation, as listed in the Alexandria database.

Values from the calculation:
The magnetic moment comes out at 0.00 μB per cell. For the density of states at the Fermi level, the calculation gives 1.072 states/eV/atom. For the energy above the most stable polymorph in this dataset, the calculation gives 1441 meV per atom. Its energy relative to the elements is 4.029 eV per formula unit.

a b c (Å): 4.5094 4.5094 4.5094
angles (deg): 60.00 60.00 60.00
Fractional coordinates of all 4 atoms:
Nb  0.7500  0.7500  0.7500
Nb  0.2500  0.2500  0.2500
Sn  0.5000  0.5000  0.5000
C  0.0000  0.0000  0.0000

Record 3
First-principles (GGA-PBE) data for CuPt2Rh3 after structural relaxation, as listed in the Alexandria database.

Values from the calculation:
The magnetic moment comes out at 0.00 μB per cell. For the density of states at the Fermi level, the calculation gives 1.778 states/eV/atom. For the energy above the most stable polymorph in this dataset, the calculation gives 0 meV per atom. Its energy relative to the elements is -0.057 eV per formula unit.

a b c (Å): 3.8619 6.1229 8.6486
angles (deg): 115.06 90.00 108.38
Fractional coordinates of all 12 atoms:
Pt  0.2105  0.4210  0.8720
Pt  0.7895  0.5790  0.1280
Pt  0.5380  0.0760  0.8734
Pt  0.4620  0.9240  0.1266
Cu  0.8755  0.7510  0.8741
Cu  0.1245  0.2490  0.1259
Rh  0.6238  0.2477  0.6202
Rh  0.0437  0.0873  0.3785
Rh  0.9563  0.9127  0.6215
Rh  0.3762  0.7523  0.3798
Rh  0.7099  0.4198  0.3804
Rh  0.2901  0.5802  0.6196